This record from Alexandria via LeMat-Bulk describes a relaxed structure of Mn2ZnIn. The functional is PBE-GGA.

Output
density: 7824 kg/m3
electronic total energy: -5.45 eV per atom
D(E_F): 2.640 states/eV/f.u.

Cell lengths 4.7688, 4.7688, 4.7688 Å; angles 130.35, 130.29, 72.89 degrees
Fractional coordinates of all 4 atoms:
In  0.2500  0.7500  0.5000
Mn  0.9999  0.9999  0.0000
Mn  0.5001  0.5001  0.0000
Zn  0.7500  0.2500  0.5000